Compound: KHg3IrSe4
Source: OQMD
Functional: PBE
Structure: optimized geometry

Calculated values
total energy = -2.83 eV/atom
total magnetic moment = 0.01 μB/cell

a b c (Å): 7.3799 7.3799 7.3799
angles (deg): 90.00 90.00 90.00
Space group P-43m (No. 215)
Asymmetric unit:
K 0.0000 0.0000 0.0000 [1 per cell]
Hg 0.0000 0.5000 0.5000 [3 per cell]
Ir 0.5000 0.5000 0.5000 [1 per cell]
Se 0.3172 0.3172 0.3172 [4 per cell]